Computed, not measured: a geometry-optimized CdNi2Te2 structure at the PBE-GGA level of DFT.

Energy relative to the elements, uncorrected (eV per atom): 0.071
Symmetry: No. 127
Energy above the most stable polymorph in this dataset (meV/atom): 148

Structure (POSCAR):
```
CdNi2Te2
1.0
-2.828 1.069 6.528
4.482 -4.912 2.746
2.478 2.621 0.644
Ni Te Cd
4 4 2
Direct
0.375 0.875 0.000
0.875 0.625 0.000
0.625 0.125 0.000
0.125 0.375 0.000
0.167 0.667 0.500
0.667 0.833 0.500
0.833 0.333 0.500
0.333 0.167 0.500
0.000 0.000 0.000
0.500 0.500 0.000
```